Here is GdDyMgBi after structural relaxation from Alexandria via LeMat-Bulk. Energies are from PBE.

Unit cell a=5.4383 b=5.4383 c=5.4383 alpha=60.00 beta=60.00 gamma=60.00
With the nearest neighbours (Å) after each atom.
Sites, in units of the cell vectors:
1 Gd 0.0000 0.0000 0.0000  4 Bi 3.33, 4 Mg 3.33
2 Dy 0.5000 0.5000 0.5000  4 Mg 3.33, 4 Bi 3.33
3 Mg 0.7500 0.7500 0.7500  4 Dy 3.33, 4 Gd 3.33
4 Bi 0.2500 0.2500 0.2500  4 Dy 3.33, 4 Gd 3.33

Values from the calculation:
D(E_F) ... 4.7 states/eV/cell
Density ... 8.1 g cm⁻³
Total magnetization ... 7.50 μB per cell
Symmetry ... F-43m
DFT formation energy ... -0.3229 eV/atom


Here is GdDyBiPb after structural relaxation from Alexandria via LeMat-Bulk. Energies are from PBE.

Unit cell a=5.5061 b=5.5061 c=5.5061 alpha=60.00 beta=60.00 gamma=60.00
With the nearest neighbours (Å) after each atom.
Sites, in units of the cell vectors:
1 Gd 0.0000 0.0000 0.0000  4 Pb 3.37, 4 Bi 3.37
2 Dy 0.5000 0.5000 0.5000  4 Bi 3.37, 4 Pb 3.37
3 Bi 0.7500 0.7500 0.7500  4 Dy 3.37, 4 Gd 3.37
4 Pb 0.2500 0.2500 0.2500  4 Dy 3.37, 4 Gd 3.37

Values from the calculation:
D(E_F) ... 5.5 states/eV/cell
Density ... 10.4 g cm⁻³
Total magnetization ... 7.43 μB per cell
Symmetry ... F-43m
DFT formation energy ... -0.4910 eV/atom


Here is GdDyTlBi after structural relaxation from Alexandria via LeMat-Bulk. Energies are from PBE.

Unit cell a=5.4625 b=5.4625 c=5.4625 alpha=60.00 beta=60.00 gamma=60.00
With the nearest neighbours (Å) after each atom.
Sites, in units of the cell vectors:
1 Gd 0.0000 0.0000 0.0000  4 Bi 3.35, 4 Tl 3.35
2 Dy 0.5000 0.5000 0.5000  4 Tl 3.35, 4 Bi 3.35
3 Tl 0.2500 0.2500 0.2500  4 Dy 3.35, 4 Gd 3.35
4 Bi 0.7500 0.7500 0.7500  4 Dy 3.35, 4 Gd 3.35

Values from the calculation:
D(E_F) ... 5.2 states/eV/cell
Density ... 10.6 g cm⁻³
Total magnetization ... 7.49 μB per cell
Symmetry ... F-43m
DFT formation energy ... -0.4337 eV/atom


Here is GdDyZnBi after structural relaxation from Alexandria via LeMat-Bulk. Energies are from PBE.

Unit cell a=5.3131 b=5.3131 c=5.3131 alpha=60.00 beta=60.00 gamma=60.00
With the nearest neighbours (Å) after each atom.
Sites, in units of the cell vectors:
1 Gd 0.0000 0.0000 0.0000  4 Bi 3.25, 4 Zn 3.25
2 Dy 0.5000 0.5000 0.5000  4 Zn 3.25, 4 Bi 3.25
3 Zn 0.7500 0.7500 0.7500  4 Dy 3.25, 4 Gd 3.25
4 Bi 0.2500 0.2500 0.2500  4 Gd 3.25, 4 Dy 3.25

Values from the calculation:
D(E_F) ... 3.0 states/eV/cell
Density ... 9.3 g cm⁻³
Total magnetization ... 7.43 μB per cell
Symmetry ... F-43m
DFT formation energy ... -0.4215 eV/atom


Here is DyGe2Bi after structural relaxation from Alexandria via LeMat-Bulk. Energies are from PBE.

Unit cell a=7.7364 b=7.7364 c=7.7364 alpha=35.77 beta=35.77 gamma=35.77
With the nearest neighbours (Å) after each atom.
Sites, in units of the cell vectors:
1 Dy 0.0000 0.0000 0.0000  6 Ge 2.90
2 Ge 0.3762 0.3762 0.3762  1 Bi 2.69, 3 Dy 2.90
3 Ge 0.6238 0.6238 0.6238  1 Bi 2.69, 3 Dy 2.90
4 Bi 0.5000 0.5000 0.5000  2 Ge 2.69

Values from the calculation:
D(E_F) ... 2.3 states/eV/cell
Density ... 6.1 g cm⁻³
Total magnetization ... 0.00 μB per cell
Symmetry ... R-3m
Polymorph energy (0 for the lowest one) ... 575 meV per atom
DFT formation energy ... 0.2727 eV/atom


Here is Dy3GeBi2 after structural relaxation from Alexandria via LeMat-Bulk. Energies are from PBE.

Unit cell a=7.5147 b=7.5147 c=7.5768 alpha=90.00 beta=90.00 gamma=58.14
With the nearest neighbours (Å) after each atom.
Sites, in units of the cell vectors:
1 Dy 0.0000 0.0000 0.0000  2 Ge 3.01, 4 Bi 3.18
2 Dy 0.0000 0.0000 0.5000  2 Ge 3.01, 4 Bi 3.18
3 Dy 0.3529 0.3529 0.0000  2 Ge 3.01, 4 Bi 3.19-3.21
4 Dy 0.3529 0.3529 0.5000  2 Ge 3.01, 4 Bi 3.19-3.21
5 Dy 0.6471 0.6471 0.0000  2 Ge 3.01, 4 Bi 3.19-3.21
6 Dy 0.6471 0.6471 0.5000  2 Ge 3.01, 4 Bi 3.19-3.21
7 Ge 0.3199 0.6801 0.7500  6 Dy 3.01
8 Ge 0.6801 0.3199 0.2500  6 Dy 3.01
9 Bi 0.0223 0.3279 0.7500  6 Dy 3.18-3.21
10 Bi 0.3279 0.0223 0.2500  6 Dy 3.18-3.21
11 Bi 0.6721 0.9777 0.7500  6 Dy 3.18-3.21
12 Bi 0.9777 0.6721 0.2500  6 Dy 3.18-3.21

Values from the calculation:
D(E_F) ... 6.2 states/eV/cell
Density ... 8.9 g cm⁻³
Total magnetization ... 0.00 μB per cell
Symmetry ... Cmcm
DFT formation energy ... -0.7018 eV/atom


Here is Dy8GeBi2 after structural relaxation from Alexandria via LeMat-Bulk. Energies are from PBE.

Unit cell a=9.5245 b=9.5245 c=7.1227 alpha=90.49 beta=90.49 gamma=30.04
With the nearest neighbours (Å) after each atom.
Sites, in units of the cell vectors:
1 Dy 0.0192 0.0192 0.2599  2 Ge 3.03
2 Dy 0.2170 0.2170 0.1393  3 Bi 3.25-3.40, 7 Dy 3.40-3.60
3 Dy 0.3475 0.3475 0.5724  1 Ge 2.86, 2 Bi 3.14
4 Dy 0.4059 0.4059 0.0500  2 Bi 3.39, 9 Dy 3.54-3.60, 1 Ge 3.63
5 Dy 0.5941 0.5941 0.9500  2 Bi 3.39, 9 Dy 3.54-3.60, 1 Ge 3.63
6 Dy 0.6525 0.6525 0.4276  1 Ge 2.86, 2 Bi 3.14
7 Dy 0.7830 0.7830 0.8607  3 Bi 3.25-3.40, 7 Dy 3.40-3.60
8 Dy 0.9808 0.9808 0.7401  2 Ge 3.03
9 Ge 0.5000 0.5000 0.5000  6 Dy 2.86-3.03
10 Bi 0.1724 0.1724 0.6964  8 Dy 3.14-3.40
11 Bi 0.8276 0.8276 0.3036  8 Dy 3.14-3.40

Values from the calculation:
D(E_F) ... 12.5 states/eV/cell
Density ... 9.2 g cm⁻³
Total magnetization ... 0.00 μB per cell
Symmetry ... C2/m
DFT formation energy ... -0.4020 eV/atom


Here is Dy5GeBi4 after structural relaxation from Alexandria via LeMat-Bulk. Energies are from PBE.

Unit cell a=7.6426 b=7.6426 c=7.6426 alpha=99.62 beta=99.62 gamma=131.74
With the nearest neighbours (Å) after each atom.
Sites, in units of the cell vectors:
1 Dy 0.0000 0.0000 0.0000  2 Ge 3.12, 4 Bi 3.14
2 Dy 0.2183 0.5976 0.8160  1 Ge 2.94, 5 Bi 3.13-3.22
3 Dy 0.4024 0.2183 0.6207  1 Ge 2.94, 5 Bi 3.13-3.22
4 Dy 0.5976 0.7817 0.3793  1 Ge 2.94, 5 Bi 3.13-3.22
5 Dy 0.7817 0.4024 0.1840  1 Ge 2.94, 5 Bi 3.13-3.22
6 Ge 0.5000 0.5000 0.0000  6 Dy 2.94-3.12
7 Bi 0.0928 0.3043 0.3971  6 Dy 3.13-3.22
8 Bi 0.3043 0.9072 0.2115  6 Dy 3.13-3.22
9 Bi 0.6957 0.0928 0.7885  6 Dy 3.13-3.22
10 Bi 0.9072 0.6957 0.6029  6 Dy 3.13-3.22

Values from the calculation:
D(E_F) ... 3.4 states/eV/cell
Density ... 9.4 g cm⁻³
Total magnetization ... 0.00 μB per cell
Symmetry ... I4/m
DFT formation energy ... -0.8128 eV/atom